# 1
Here is crystalline UHgAu at its relaxed geometry from OQMD. Energies are from PBE-GGA.

Structure (CIF):
```
data_UHgAu
_chemical_formula_sum 'U4 Hg4 Au4'
_symmetry_space_group_name_H-M 'F -4 3 m'
_symmetry_Int_Tables_number 216
_symmetry_space_group_name_Hall 'F -4 2 3'
_cell_length_a 6.860
_cell_length_b 6.860
_cell_length_c 6.860
_cell_angle_alpha 90.00
_cell_angle_beta 90.00
_cell_angle_gamma 90.00
loop_
_atom_site_label
_atom_site_fract_x
_atom_site_fract_y
_atom_site_fract_z
U1 0.000 0.000 0.000
Hg1 0.250 0.250 0.750
Au1 0.000 0.000 0.500
```

# 2
Here is crystalline UHgAu at its relaxed geometry from OQMD. Energies are from PBE-GGA.

Structure (CIF):
```
data_UHgAu
_chemical_formula_sum 'U4 Hg4 Au4'
_symmetry_space_group_name_H-M 'F -4 3 m'
_symmetry_Int_Tables_number 216
_symmetry_space_group_name_Hall 'F -4 2 3'
_cell_length_a 6.997
_cell_length_b 6.997
_cell_length_c 6.997
_cell_angle_alpha 90.00
_cell_angle_beta 90.00
_cell_angle_gamma 90.00
loop_
_atom_site_label
_atom_site_fract_x
_atom_site_fract_y
_atom_site_fract_z
U1 0.000 0.000 0.000
Hg1 0.250 0.250 0.750
Au1 0.250 0.250 0.250
```

# 3
Here is crystalline YHgAu at its relaxed geometry from OQMD. Energies are from PBE-GGA.

Structure (CIF):
```
data_YHgAu
_chemical_formula_sum 'Y2 Hg2 Au2'
_symmetry_space_group_name_H-M 'P 63/m m c'
_symmetry_Int_Tables_number 194
_symmetry_space_group_name_Hall '-P 6c 2c'
_cell_length_a 5.0786
_cell_length_b 5.0786
_cell_length_c 6.1361
_cell_angle_alpha 90.00
_cell_angle_beta 90.00
_cell_angle_gamma 120.00
loop_
_atom_site_label
_atom_site_fract_x
_atom_site_fract_y
_atom_site_fract_z
Y1 0.3333 0.6667 0.2500
Hg1 0.0000 0.0000 0.0000
Au1 0.3333 0.6667 0.7500
```

# 4
Here is crystalline YZrHg2Au4 at its relaxed geometry from OQMD. Energies are from PBE-GGA.

Structure (CIF):
```
data_YZrHg2Au4
_chemical_formula_sum 'Y1 Zr1 Hg2 Au4'
_symmetry_space_group_name_H-M 'P 4/m m m'
_symmetry_Int_Tables_number 123
_symmetry_space_group_name_Hall '-P 4 2'
_cell_length_a 4.872
_cell_length_b 4.872
_cell_length_c 6.857
_cell_angle_alpha 90.00
_cell_angle_beta 90.00
_cell_angle_gamma 90.00
loop_
_atom_site_label
_atom_site_fract_x
_atom_site_fract_y
_atom_site_fract_z
Y1 0.000 0.000 0.000
Zr1 0.500 0.500 0.500
Hg1 0.000 0.000 0.500
Hg2 0.500 0.500 0.000
Au1 0.000 0.500 0.261
```

Number 1: uncorrected energy -4.529 eV/atom. Number 2: uncorrected energy -4.501 eV/atom. Number 3: uncorrected energy -4.011 eV/atom. Number 4: uncorrected energy -4.050 eV/atom.